Record 1
4
Lattice="1.3308 -2.2313 3.2062 1.4669 1.8902 3.3623 -2.1660 -0.0615 3.5120" Properties=species:S:1:pos:R:3 comment="AgB2W PBE-GGA relaxed" sg="F-43m, No. 216" crystal_system=cubic energy_ev_per_atom=-5.455 pbc="T T T"
Ag 0.3159 -0.2013 5.0402
B 0.0000 0.0000 0.0000
B 0.1579 -0.1007 2.5201
W 0.4738 -0.3020 7.5603

Record 2
10
Lattice="-3.1893 5.1337 1.5349 0.8043 -4.0729 4.6614 7.0318 1.1328 -1.1010" Properties=species:S:1:pos:R:3 comment="CsCu3Si PBE-GGA relaxed" sg="P-1, No. 2" crystal_system=triclinic energy_ev_per_atom=-3.414 pbc="T T T"
Cs -0.8502 1.0174 1.3239
Cs 5.4971 1.1763 3.7714
Cu 0.4021 -2.0365 2.3307
Cu 3.5446 -0.3873 0.9877
Cu 2.0543 0.2832 4.8716
Cu 2.3234 1.0968 2.5476
Cu 2.5925 1.9105 0.2237
Cu 1.1023 2.5809 4.1076
Si 2.4262 -1.1725 2.9794
Si 2.2206 3.3661 2.1159

Record 3
4
Lattice="2.0274 -1.2278 3.4114 -2.0642 -1.8658 3.0844 0.5729 -4.0488 0.7315" Properties=species:S:1:pos:R:3 comment="GaNi2Ir PBE-GGA relaxed" sg="F-43m, No. 216" crystal_system=cubic energy_ev_per_atom=-5.948 pbc="T T T"
Ga 0.2681 -3.5712 3.6136
Ir 0.1340 -1.7856 1.8068
Ni 0.0000 0.0000 0.0000
Ni 0.4021 -5.3568 5.4204

Record 4
12
Lattice="-3.6151 6.7999 0.4587 -6.1623 4.5115 -1.0911 -3.4348 -2.4510 9.2644" Properties=species:S:1:pos:R:3 comment="ScCdInS3 PBE-GGA relaxed" sg="Cmcm, No. 63" crystal_system=orthorhombic de_polymorph_kcal_per_mol_atoms=0.00 energy_ev_per_atom=-4.736 pbc="T T T"
Cd -3.9514 2.9651 2.1161
Cd -9.2608 5.8952 6.5159
In -7.3075 6.8478 1.8990
In -5.9046 2.0125 6.7330
S -3.8411 4.2711 0.0064
S -1.2461 -0.1646 2.2911
S -5.3739 3.1774 4.1408
S -7.8382 5.6830 4.4912
S -11.9661 9.0249 6.3410
S -9.3710 4.5892 8.6256
Sc 0.0000 0.0000 0.0000
Sc -1.7174 -1.2255 4.6322